No. 1
This record from Alexandria via LeMat-Bulk describes a relaxed structure of Th6SbOs2Se3. The functional is PBE.

Computed properties:
SG: No. 12
Formation energy from raw total energies, eV per atom: -1.072

extended XYZ file:
```
12
Lattice="9.3807 -2.0983 0.0000 9.3807 2.0983 0.0000 -2.1974 0.0000 8.5593" Properties=species:S:1:pos:R:3 pbc="T T T"
Th -0.3257 0.0000 2.3068
Th 5.1364 0.0000 3.7311
Th 4.1774 0.0000 7.5441
Th 12.3866 0.0000 1.0152
Th 11.4277 0.0000 4.8282
Th 16.8897 0.0000 6.2525
Sb 9.3807 0.0000 0.0000
Os 2.4394 0.0000 2.8714
Os 14.1246 0.0000 5.6879
Se 1.1072 0.0000 7.1562
Se 8.2820 0.0000 4.2796
Se 15.4568 0.0000 1.4031
```

No. 2
This record from Alexandria via LeMat-Bulk describes a relaxed structure of SiSbOs3. The functional is PBE.

Computed properties:
SG: No. 221
E above lowest polymorph, eV/f.u.: 7.490
Formation energy from raw total energies, eV per atom: 2.645

extended XYZ file:
```
5
Lattice="4.8308 0.0000 0.0000 0.0000 4.8308 0.0000 0.0000 0.0000 4.8308" Properties=species:S:1:pos:R:3 pbc="T T T"
Si 0.0000 0.0000 0.0000
Sb 2.4154 2.4154 2.4154
Os 0.0000 2.4154 2.4154
Os 2.4154 0.0000 2.4154
Os 2.4154 2.4154 0.0000
```

No. 3
This record from Alexandria via LeMat-Bulk describes a relaxed structure of SiSbOs. The functional is PBE.

Computed properties:
SG: No. 8
E above lowest polymorph, eV/f.u.: 0.210
Formation energy from raw total energies, eV per atom: 0.029

extended XYZ file:
```
6
Lattice="6.1619 -1.5238 0.0000 6.1619 1.5238 0.0000 -0.5688 0.0000 5.6634" Properties=species:S:1:pos:R:3 pbc="T T T"
Si 0.0000 0.0000 0.0000
Si 1.0195 0.0000 2.5659
Sb 2.7166 0.0000 4.5119
Sb 10.4054 0.0000 1.7997
Os 5.4226 0.0000 3.7597
Os 7.9527 0.0000 0.6232
```